Here is EuErMg after structural relaxation from Alexandria via LeMat-Bulk. Energies are from PBE.

a = 3.7748 Å, b = 3.7748 Å, c = 7.1216 Å
α = 105.37°, β = 105.37°, γ = 90.00°
Sites, in units of the cell vectors:
Mg 0.6753 0.6753 0.3506
Eu 0.0103 0.0103 0.0205
Er 0.3144 0.3144 0.6289

Calculated values
M_tot ... 7.5 μB per cell
Formation energy ... 0.014 eV/atom